Entry 1:
Tl4VSe2 | GGA-PBE | optimized geometry Values from VASP.

```
&SYSTEM
  ibrav = 0, nat = 7, ntyp = 3
/
ATOMIC_SPECIES
Tl 204.38 Tl.upf
Se 78.96 Se.upf
V 50.94 V.upf
CELL_PARAMETERS angstrom
-2.9636 3.9784 -2.4897
-3.7133 -3.7884 -1.6335
-7.1631 1.1523 4.1806
ATOMIC_POSITIONS angstrom
Tl -8.0993 0.5833 -1.8017
Tl -5.7407 0.7591 1.8592
Tl -1.8567 -1.8942 -0.8168
Tl -1.4818 1.9892 -1.2448
Se -9.4634 0.9604 0.4247
Se -4.3766 0.3820 -0.3672
V 0.0000 0.0000 0.0000
```

Calculated density ... 7.48 g/cm3
Electronic total energy ... -3.516 eV/atom
Energy relative to the elements, uncorrected ... 134 meV/atom
Spin magnetization ... 4.261 μB/f.u.
Space-group type ... I4/mmm, No. 139
DOS(E_F) ... 0.660 states/eV/atom

---

Entry 2:
TlV3Se | GGA-PBE | optimized geometry Values from VASP.

```
&SYSTEM
  ibrav = 0, nat = 5, ntyp = 3
/
ATOMIC_SPECIES
Tl 204.38 Tl.upf
Se 78.96 Se.upf
V 50.94 V.upf
CELL_PARAMETERS angstrom
5.0851 0.0000 0.0000
0.0000 5.0851 0.0000
0.0000 0.0000 5.0851
ATOMIC_POSITIONS angstrom
Tl 0.0000 0.0000 0.0000
Se 2.5426 2.5426 2.5426
V 0.0000 2.5426 0.0000
V 0.0000 0.0000 2.5426
V 2.5426 0.0000 0.0000
```

Calculated density ... 5.51 g/cm3
Electronic total energy ... -5.056 eV/atom
Energy relative to the elements, uncorrected ... 1586 meV/atom
Distance to the lowest polymorph of the same formula ... 1025 meV per atom
Spin magnetization ... 8.305 μB/f.u.
Space-group type ... Pm-3m, No. 221
DOS(E_F) ... 2.196 states/eV/atom

---

Entry 3:
Tl3VSe3 | GGA-PBE | optimized geometry Values from VASP.

```
&SYSTEM
  ibrav = 0, nat = 14, ntyp = 3
/
ATOMIC_SPECIES
Tl 204.38 Tl.upf
V 50.94 V.upf
Se 78.96 Se.upf
CELL_PARAMETERS angstrom
7.2477 0.2881 -1.0192
-3.0438 6.5839 -1.0192
-0.2513 -0.4108 8.7065
ATOMIC_POSITIONS angstrom
Tl 2.4593 4.0202 1.9737
Tl -1.5499 5.3877 3.3340
Tl 5.5025 1.0735 3.3340
Tl 0.0192 4.7101 -1.0192
Tl 4.1847 2.1619 -1.0192
Tl 1.4933 2.4410 4.6943
V 3.4185 5.5881 5.7291
V 0.5341 0.8731 0.9389
Se 3.5184 5.7514 -0.6141
Se 4.4689 3.6524 4.8193
Se 1.2168 5.6419 4.8193
Se -0.5163 2.8088 1.8487
Se 2.7358 0.8193 1.8487
Se 0.4342 0.7098 7.2822
```

Calculated density ... 7.17 g/cm3
Electronic total energy ... -4.243 eV/atom
Energy relative to the elements, uncorrected ... -433 meV/atom
Spin magnetization ... 0.955 μB/f.u.
Space-group type ... C2/m, No. 12
DOS(E_F) ... 0.426 states/eV/atom